1.
The following is a DFT calculation (PBE-GGA) of Tl3In2Sn after structural relaxation.

Cell and atoms, written as extended XYZ:
```
12
Lattice="3.406 0.000 0.000 1.703 9.423 0.981 1.703 3.236 11.536" Properties=species:S:1:pos:R:3 pbc="T T T"
Tl 1.703 3.990 9.507
Tl 5.110 8.669 3.010
Tl 5.110 10.655 11.730
Tl 1.703 2.004 0.786
Tl 5.110 10.096 8.414
Tl 1.703 2.563 4.103
In 5.110 7.545 10.545
In 1.703 5.115 1.972
In 3.406 3.767 6.649
In 3.406 8.892 5.868
Sn 3.406 6.623 7.938
Sn 3.406 6.036 4.579
```

The calculation puts the energy relative to the lowest polymorph listed for this composition at 0.0000 eV per atom. As for the formation energy: 0.044 eV/atom. Its density of states at the Fermi level is 5.2 states/eV per cell. The symmetry is No. 12.



2.
The following is a DFT calculation (PBE-GGA) of GaAuC3 after structural relaxation.

Cell and atoms, written as extended XYZ:
```
5
Lattice="-4.045 0.221 -1.073 0.875 -1.816 -3.674 -0.659 -3.771 1.707" Properties=species:S:1:pos:R:3 pbc="T T T"
C 0.438 -0.908 -1.837
C -0.330 -1.885 0.853
C -2.023 0.111 -0.536
Au 0.000 0.000 0.000
Ga -1.915 -2.683 -1.520
```

The calculation puts the energy relative to the lowest polymorph listed for this composition at 0.2458 eV per atom. As for the formation energy: 3.017 eV/atom. Its density of states at the Fermi level is 5.0 states/eV per cell. The symmetry is No. 221.



3.
The following is a DFT calculation (PBE-GGA) of Er8Ir2Au after structural relaxation.

Cell and atoms, written as extended XYZ:
```
11
Lattice="4.859 0.000 0.000 0.000 6.908 0.155 -2.430 -2.778 8.244" Properties=species:S:1:pos:R:3 pbc="T T T"
Er 0.000 1.436 6.735
Er 2.429 5.709 2.976
Er 2.430 3.077 4.985
Er 2.430 -1.046 7.722
Er 0.000 1.053 3.413
Er 0.000 -1.579 5.423
Er 2.430 2.694 1.664
Er 0.000 5.176 0.677
Ir 2.430 0.291 5.199
Ir 0.000 3.839 3.199
Au 2.430 0.000 0.000
```

The calculation puts the energy relative to the lowest polymorph listed for this composition at 0.0000 eV per atom. As for the formation energy: -0.554 eV/atom. Its density of states at the Fermi level is 12.2 states/eV per cell. The symmetry is No. 12.



4.
The following is a DFT calculation (PBE-GGA) of TaPAu2 after structural relaxation.

Cell and atoms, written as extended XYZ:
```
4
Lattice="1.725 4.302 0.401 -1.725 4.302 0.401 0.000 1.873 4.918" Properties=species:S:1:pos:R:3 pbc="T T T"
Ta 0.000 2.472 1.929
P 0.000 4.958 2.318
Au 0.000 1.940 4.896
Au 0.000 8.219 4.356
```

As for the formation energy: -0.007 eV/atom. Its density of states at the Fermi level is 1.9 states/eV per cell. The symmetry is No. 8.



no.,total energy (Ha/atom),calculated density (g/cm3)
1,-0.0999,8.9
2,-0.1388,6.8
3,-0.2125,11.4
4,-0.2191,14.3